P) Here is a geometry-optimized Hf2BiPb2 structure from Alexandria. Energies are from GGA-PBE.

Unit cell a=4.2880 b=4.2880 c=15.1863 alpha=90.00 beta=90.00 gamma=90.00
With the nearest neighbours (Å) after each atom.
Space group I4/mmm (No. 139)
Inequivalent atoms, fractional coordinates:
Hf (0.0000, 0.5000, 0.2500) [4 per cell]  4 Hf 3.03, 4 Pb 3.10
Bi (0.0000, 0.0000, 0.0000) [2 per cell]  8 Pb 3.41
Pb (0.0000, 0.0000, 0.3973) [4 per cell]  4 Hf 3.10, 1 Pb 3.12, 4 Bi 3.41

=====

Q) Here is a geometry-optimized Hf2BiPb2 structure from Alexandria. Energies are from GGA-PBE.

Unit cell a=9.0223 b=9.0223 c=3.2632 alpha=90.00 beta=90.00 gamma=90.00
With the nearest neighbours (Å) after each atom.
Space group P4/mbm (No. 127)
Inequivalent atoms, fractional coordinates:
Hf (0.1230, 0.3770, 0.0000) [4 per cell]  6 Pb 3.10-3.14, 3 Hf 3.14-3.26
Bi (0.0000, 0.0000, 0.5000) [2 per cell]  2 Bi 3.26, 4 Pb 3.35
Pb (0.1703, 0.6703, 0.5000) [4 per cell]  6 Hf 3.10-3.14, 2 Pb 3.26, 2 Bi 3.35

=====

Unit: kJ/mol of atoms. Relative energies: P) 26.2; Q) 0.0.

=====

P) Here is a geometry-optimized HfBiPb3 structure from Alexandria. Energies are from GGA-PBE.

Unit cell a=5.8693 b=5.8693 c=5.8693 alpha=90.00 beta=90.00 gamma=90.00
With the nearest neighbours (Å) after each atom.
Space group Pm-3m (No. 221)
Inequivalent atoms, fractional coordinates:
Hf (0.0000, 0.0000, 0.0000) [1 per cell]  12 Pb 4.15
Bi (0.5000, 0.5000, 0.5000) [1 per cell]  6 Pb 2.93
Pb (0.0000, 0.5000, 0.5000) [3 per cell]  2 Bi 2.93

=====

Q) Here is a geometry-optimized HfBiPb3 structure from Alexandria. Energies are from GGA-PBE.

Unit cell a=5.6625 b=5.6625 c=5.6625 alpha=90.00 beta=90.00 gamma=90.00
With the nearest neighbours (Å) after each atom.
Space group Pm-3m (No. 221)
Inequivalent atoms, fractional coordinates:
Hf (0.0000, 0.0000, 0.0000) [1 per cell]  6 Pb 2.83
Bi (0.5000, 0.5000, 0.5000) [1 per cell]  12 Pb 4.00
Pb (0.0000, 0.0000, 0.5000) [3 per cell]  2 Hf 2.83

=====

Unit: kJ/mol of atoms. Relative energies: P) 75.2; Q) 0.0.

=====

P) Here is a geometry-optimized Hf2BiPd2 structure from Alexandria. Energies are from GGA-PBE.

Unit cell a=4.5210 b=4.5210 c=11.0158 alpha=90.00 beta=90.00 gamma=90.00
With the nearest neighbours (Å) after each atom.
Space group I4/mmm (No. 139)
Inequivalent atoms, fractional coordinates:
Hf (0.0000, 0.5000, 0.2500) [4 per cell]  4 Pd 2.68
Bi (0.0000, 0.0000, 0.0000) [2 per cell]  8 Pd 3.46, 8 Hf 3.56
Pd (0.0000, 0.0000, 0.3809) [4 per cell]  1 Pd 2.62, 4 Hf 2.68

=====

Q) Here is a geometry-optimized Hf2BiPd2 structure from Alexandria. Energies are from GGA-PBE.

Unit cell a=7.7706 b=7.7706 c=3.3585 alpha=90.00 beta=90.00 gamma=90.00
With the nearest neighbours (Å) after each atom.
Space group P4/mbm (No. 127)
Inequivalent atoms, fractional coordinates:
Hf (0.1621, 0.3379, 0.0000) [4 per cell]  6 Pd 2.82-2.86
Bi (0.0000, 0.0000, 0.5000) [2 per cell]  4 Pd 3.06, 2 Bi 3.36, 8 Hf 3.36
Pd (0.1277, 0.6277, 0.5000) [4 per cell]  1 Pd 2.81, 6 Hf 2.82-2.86, 2 Bi 3.06

=====

R) Here is a geometry-optimized Hf2BiPd2 structure from Alexandria. Energies are from GGA-PBE.

Unit cell a=7.9316 b=7.9316 c=3.3143 alpha=90.00 beta=90.00 gamma=90.00
With the nearest neighbours (Å) after each atom.
Space group P4/mbm (No. 127)
Inequivalent atoms, fractional coordinates:
Hf (0.1561, 0.3439, 0.0000) [4 per cell]  6 Pd 2.81-2.92, 2 Bi 3.00
Bi (0.0000, 0.0000, 0.0000) [2 per cell]  4 Hf 3.00, 2 Bi 3.31
Pd (0.1293, 0.6293, 0.5000) [4 per cell]  6 Hf 2.81-2.92, 1 Pd 2.90

=====

Unit: kJ/mol of atoms. Relative energies: P) 17.2; Q) 0.0; R) 12.6.

=====

P) Here is a geometry-optimized HfBi3Pd structure from Alexandria. Energies are from GGA-PBE.

Unit cell a=5.3146 b=5.3146 c=5.3146 alpha=90.00 beta=90.00 gamma=90.00
With the nearest neighbours (Å) after each atom.
Space group Pm-3m (No. 221)
Inequivalent atoms, fractional coordinates:
Hf (0.0000, 0.0000, 0.0000) [1 per cell]  12 Bi 3.76
Bi (0.0000, 0.5000, 0.5000) [3 per cell]  2 Pd 2.66
Pd (0.5000, 0.5000, 0.5000) [1 per cell]  6 Bi 2.66

=====

Q) Here is a geometry-optimized HfBi3Pd structure from Alexandria. Energies are from GGA-PBE.

Unit cell a=5.5729 b=5.5729 c=5.5729 alpha=90.00 beta=90.00 gamma=90.00
With the nearest neighbours (Å) after each atom.
Space group Pm-3m (No. 221)
Inequivalent atoms, fractional coordinates:
Hf (0.0000, 0.0000, 0.0000) [1 per cell]  6 Bi 2.79
Bi (0.0000, 0.0000, 0.5000) [3 per cell]  2 Hf 2.79
Pd (0.5000, 0.5000, 0.5000) [1 per cell]  12 Bi 3.94

=====

Unit: kJ/mol of atoms. Relative energies: P) 0.0; Q) 4.7.